# 1
Entry from Alexandria via LeMat-Bulk: a relaxed structure of YBe2TlF8 (PBE).

abc: 5.1496 5.1496 24.3342
angles: 90.00 90.00 120.00
Space group R-3 (No. 148, hexagonal axes)
Asymmetric unit:
Y (0.0000, 0.0000, 0.0000) [3 per cell]
Be (0.0000, 0.0000, 0.2544) [6 per cell]
Tl (0.0000, 0.0000, 0.5000) [3 per cell]
F (0.0000, 0.0000, 0.1930) [6 per cell]
F (0.0239, 0.7277, 0.7203) [18 per cell]

Computed properties:
Crystal system: trigonal
DFT total energy (eV for the cell shown): -212.8
Spin magnetization (μB per atom): 0.000
Formation energy from raw total energies (eV per atom): -3.31


# 2
Entry from Alexandria via LeMat-Bulk: a relaxed structure of TmBeF (PBE).

abc: 8.835 2.899 7.382
angles: 90.00 90.00 90.00
Space group Amm2 (No. 38)
Asymmetric unit:
Tm (0.223, 0.000, 0.000) [4 per cell]
Be (0.000, 0.000, 0.291) [2 per cell]
Be (0.500, 0.000, 0.689) [2 per cell]
F (0.369, 0.000, 0.276) [4 per cell]

Computed properties:
Crystal system: orthorhombic
DFT total energy (eV for the cell shown): -50.5
Spin magnetization (μB per atom): 0.000
Formation energy from raw total energies (eV per atom): -0.85